1.
The following is a DFT calculation (PBE-GGA) of HfZnRh3 after structural relaxation.

Cell lengths 4.752, 4.752, 4.752 Å; angles 90.00, 90.00, 90.00 degrees
Space group Pm-3m (No. 221)
Asymmetric unit:
Hf 0.000 0.000 0.000 (multiplicity 1)
Zn 0.500 0.500 0.500 (multiplicity 1)
Rh 0.000 0.000 0.500 (multiplicity 3)

Theoretical density, g/cm3: 8.552
Total DFT energy (no corrections), eV/atom: -5.8891
Fermi-level density of states, states/eV/f.u.: 6.50

2.
The following is a DFT calculation (PBE-GGA) of Hf5Zn4Rh after structural relaxation.

Cell lengths 3.311, 3.311, 16.332 Å; angles 90.00, 90.00, 90.00 degrees
Space group P4/mmm (No. 123)
Asymmetric unit:
Hf 0.000 0.000 0.000 (multiplicity 1)
Hf 0.000 0.000 0.201 (multiplicity 2)
Hf 0.000 0.000 0.403 (multiplicity 2)
Zn 0.500 0.500 0.100 (multiplicity 2)
Zn 0.500 0.500 0.301 (multiplicity 2)
Rh 0.500 0.500 0.500 (multiplicity 1)

Theoretical density, g/cm3: 11.662
Total DFT energy (no corrections), eV/atom: -6.5508
Fermi-level density of states, states/eV/f.u.: 4.27

3.
The following is a DFT calculation (PBE-GGA) of Hf3Zn2Rh after structural relaxation.

Cell lengths 4.6518, 4.6518, 11.4671 Å; angles 90.00, 90.00, 120.00 degrees
Space group P-3m1 (No. 164)
Asymmetric unit:
Hf 0.0000 0.0000 0.2482 (multiplicity 2)
Hf 0.3333 0.6667 0.4160 (multiplicity 2)
Hf 0.3333 0.6667 0.9174 (multiplicity 2)
Zn 0.0000 0.0000 0.0000 (multiplicity 1)
Zn 0.0000 0.0000 0.5000 (multiplicity 1)
Zn 0.3333 0.6667 0.6656 (multiplicity 2)
Rh 0.3333 0.6667 0.1711 (multiplicity 2)

Theoretical density, g/cm3: 11.887
Total DFT energy (no corrections), eV/atom: -7.0009
Fermi-level density of states, states/eV/f.u.: 3.85

4.
The following is a DFT calculation (PBE-GGA) of Hf5Zn2Rh2 after structural relaxation.

Cell lengths 13.858, 7.824, 6.516 Å; angles 90.00, 90.00, 90.00 degrees
Space group Cmce (No. 64)
Asymmetric unit:
Hf 0.000 0.000 0.000 (multiplicity 4)
Hf 0.132 0.186 0.342 (multiplicity 16)
Zn 0.209 0.000 0.000 (multiplicity 8)
Rh 0.000 0.128 0.637 (multiplicity 8)

Theoretical density, g/cm3: 11.556
Total DFT energy (no corrections), eV/atom: -7.7955
Fermi-level density of states, states/eV/f.u.: 7.23

5.
The following is a DFT calculation (PBE-GGA) of Hf3ZnRh after structural relaxation.

Cell lengths 4.960, 4.960, 4.960 Å; angles 90.00, 90.00, 90.00 degrees
Space group Pm-3m (No. 221)
Asymmetric unit:
Hf 0.000 0.000 0.500 (multiplicity 3)
Zn 0.500 0.500 0.500 (multiplicity 1)
Rh 0.000 0.000 0.000 (multiplicity 1)

Theoretical density, g/cm3: 9.578
Total DFT energy (no corrections), eV/atom: -7.3437
Fermi-level density of states, states/eV/f.u.: 7.79

6.
The following is a DFT calculation (PBE-GGA) of Hf2ZnRh after structural relaxation.

Cell lengths 3.283, 3.583, 14.025 Å; angles 90.00, 90.00, 90.00 degrees
Space group Immm (No. 71)
Asymmetric unit:
Hf 0.000 0.000 0.180 (multiplicity 4)
Zn 0.000 0.000 0.500 (multiplicity 2)
Rh 0.000 0.000 0.000 (multiplicity 2)

Theoretical density, g/cm3: 10.573
Total DFT energy (no corrections), eV/atom: -7.1208
Fermi-level density of states, states/eV/f.u.: 2.93

7.
The following is a DFT calculation (PBE-GGA) of Hf2ZnRh after structural relaxation.

Cell lengths 3.311, 3.311, 6.473 Å; angles 90.00, 90.00, 90.00 degrees
Space group P4/mmm (No. 123)
Asymmetric unit:
Hf 0.000 0.000 0.245 (multiplicity 2)
Zn 0.500 0.500 0.500 (multiplicity 1)
Rh 0.500 0.500 0.000 (multiplicity 1)

Theoretical density, g/cm3: 12.292
Total DFT energy (no corrections), eV/atom: -7.6648
Fermi-level density of states, states/eV/f.u.: 2.25

8.
The following is a DFT calculation (PBE-GGA) of Hf2ZnRh after structural relaxation.

Cell lengths 7.417, 7.417, 5.675 Å; angles 90.00, 90.00, 90.00 degrees
Space group I-42d (No. 122)
Asymmetric unit:
Hf 0.217 0.250 0.125 (multiplicity 8)
Zn 0.000 0.000 0.500 (multiplicity 4)
Rh 0.000 0.000 0.000 (multiplicity 4)

Theoretical density, g/cm3: 11.177
Total DFT energy (no corrections), eV/atom: -7.1848
Fermi-level density of states, states/eV/f.u.: 5.42

9.
The following is a DFT calculation (PBE-GGA) of HfZn5Rh6 after structural relaxation.

Cell lengths 4.332, 12.942, 6.139 Å; angles 90.00, 90.00, 90.00 degrees
Space group Cmmm (No. 65)
Asymmetric unit:
Hf 0.000 0.000 0.000 (multiplicity 2)
Zn 0.000 0.000 0.500 (multiplicity 2)
Zn 0.000 0.333 0.000 (multiplicity 4)
Zn 0.000 0.334 0.500 (multiplicity 4)
Rh 0.000 0.169 0.253 (multiplicity 8)
Rh 0.000 0.500 0.258 (multiplicity 4)

Theoretical density, g/cm3: 10.836
Total DFT energy (no corrections), eV/atom: -5.6094
Fermi-level density of states, states/eV/f.u.: 4.76

10.
The following is a DFT calculation (PBE-GGA) of Hf2Zn6Rh after structural relaxation.

Cell lengths 9.028, 7.248, 5.302 Å; angles 90.00, 121.05, 90.00 degrees
Space group C2/m (No. 12)
Asymmetric unit:
Hf 0.179 0.000 0.315 (multiplicity 4)
Zn 0.000 0.333 0.000 (multiplicity 4)
Zn 0.143 0.174 0.760 (multiplicity 8)
Rh 0.000 0.500 0.500 (multiplicity 2)

Theoretical density, g/cm3: 9.523
Total DFT energy (no corrections), eV/atom: -4.0219
Fermi-level density of states, states/eV/f.u.: 4.23

11.
The following is a DFT calculation (PBE-GGA) of Hf2Zr2Rh after structural relaxation.

Cell lengths 6.788, 6.788, 4.795 Å; angles 90.00, 90.00, 90.00 degrees
Space group P4/mbm (No. 127)
Asymmetric unit:
Hf 0.155 0.345 0.000 (multiplicity 4)
Zr 0.152 0.652 0.500 (multiplicity 4)
Rh 0.000 0.000 0.500 (multiplicity 2)

Theoretical density, g/cm3: 9.657
Total DFT energy (no corrections), eV/atom: -8.9202
Fermi-level density of states, states/eV/f.u.: 6.52

12.
The following is a DFT calculation (PBE-GGA) of HfZr3Rh6 after structural relaxation.

Cell lengths 7.842, 4.662, 9.942 Å; angles 90.00, 110.06, 90.00 degrees
Space group P2_1/m (No. 11)
Asymmetric unit:
Hf 0.056 0.250 0.405 (multiplicity 2)
Zr 0.197 0.250 0.014 (multiplicity 2)
Zr 0.370 0.750 0.805 (multiplicity 2)
Zr 0.486 0.250 0.623 (multiplicity 2)
Rh 0.078 0.750 0.873 (multiplicity 2)
Rh 0.149 0.750 0.186 (multiplicity 2)
Rh 0.155 0.250 0.700 (multiplicity 2)
Rh 0.247 0.750 0.505 (multiplicity 2)
Rh 0.343 0.250 0.324 (multiplicity 2)
Rh 0.453 0.750 0.089 (multiplicity 2)

Theoretical density, g/cm3: 10.403
Total DFT energy (no corrections), eV/atom: -8.7522
Fermi-level density of states, states/eV/f.u.: 4.22

13.
The following is a DFT calculation (PBE-GGA) of Hf3ZrRh2 after structural relaxation.

Cell lengths 14.646, 4.493, 8.333 Å; angles 90.00, 120.64, 90.00 degrees
Space group C2/m (No. 12)
Asymmetric unit:
Hf 0.050 0.000 0.376 (multiplicity 4)
Hf 0.126 0.500 0.682 (multiplicity 4)
Hf 0.207 0.500 0.368 (multiplicity 4)
Zr 0.121 0.000 0.051 (multiplicity 4)
Rh 0.002 0.500 0.836 (multiplicity 4)
Rh 0.244 0.000 0.887 (multiplicity 4)

Theoretical density, g/cm3: 11.721
Total DFT energy (no corrections), eV/atom: -9.3362
Fermi-level density of states, states/eV/f.u.: 6.16

14.
The following is a DFT calculation (PBE-GGA) of Hf4Zr3Rh after structural relaxation.

Cell lengths 3.252, 3.252, 16.236 Å; angles 90.00, 90.00, 90.00 degrees
Space group P4/mmm (No. 123)
Asymmetric unit:
Hf 0.000 0.000 0.101 (multiplicity 2)
Hf 0.000 0.000 0.365 (multiplicity 2)
Zr 0.500 0.500 0.230 (multiplicity 2)
Zr 0.500 0.500 0.500 (multiplicity 1)
Rh 0.500 0.500 0.000 (multiplicity 1)

Theoretical density, g/cm3: 10.544
Total DFT energy (no corrections), eV/atom: -9.3010
Fermi-level density of states, states/eV/f.u.: 10.59

15.
The following is a DFT calculation (PBE-GGA) of Hf6Zr2Rh after structural relaxation.

Cell lengths 14.944, 8.542, 3.081 Å; angles 90.00, 90.12, 90.00 degrees
Space group C2/m (No. 12)
Asymmetric unit:
Hf 0.000 0.188 0.000 (multiplicity 4)
Hf 0.159 0.326 0.500 (multiplicity 8)
Zr 0.176 0.000 0.998 (multiplicity 4)
Rh 0.000 0.500 0.500 (multiplicity 2)

Theoretical density, g/cm3: 11.451
Total DFT energy (no corrections), eV/atom: -9.3201
Fermi-level density of states, states/eV/f.u.: 10.72

16.
The following is a DFT calculation (PBE-GGA) of HfZr2Rh2 after structural relaxation.

Cell lengths 4.234, 5.696, 8.135 Å; angles 90.00, 90.00, 90.00 degrees
Space group Immm (No. 71)
Asymmetric unit:
Hf 0.000 0.000 0.000 (multiplicity 2)
Zr 0.000 0.500 0.201 (multiplicity 4)
Rh 0.000 0.233 0.500 (multiplicity 4)

Theoretical density, g/cm3: 9.596
Total DFT energy (no corrections), eV/atom: -8.9505
Fermi-level density of states, states/eV/f.u.: 4.82

17.
The following is a DFT calculation (PBE-GGA) of HfZr6Rh2 after structural relaxation.

Cell lengths 11.039, 3.378, 10.447 Å; angles 90.00, 108.83, 90.00 degrees
Space group C2/m (No. 12)
Asymmetric unit:
Hf 0.000 0.000 0.000 (multiplicity 2)
Zr 0.014 0.000 0.329 (multiplicity 4)
Zr 0.176 0.500 0.574 (multiplicity 4)
Zr 0.181 0.500 0.882 (multiplicity 4)
Rh 0.153 0.500 0.207 (multiplicity 4)

Theoretical density, g/cm3: 8.392
Total DFT energy (no corrections), eV/atom: -8.8048
Fermi-level density of states, states/eV/f.u.: 10.37

18.
The following is a DFT calculation (PBE-GGA) of Hf2ZrRh2 after structural relaxation.

Cell lengths 3.233, 19.724, 3.015 Å; angles 90.00, 90.00, 90.00 degrees
Space group Cmmm (No. 65)
Asymmetric unit:
Hf 0.000 0.179 0.000 (multiplicity 4)
Zr 0.000 0.000 0.000 (multiplicity 2)
Rh 0.000 0.408 0.500 (multiplicity 4)

Theoretical density, g/cm3: 11.298
Total DFT energy (no corrections), eV/atom: -9.0832
Fermi-level density of states, states/eV/f.u.: 5.87

19.
The following is a DFT calculation (PBE-GGA) of Hf2ZrRh2 after structural relaxation.

Cell lengths 7.563, 7.563, 3.318 Å; angles 90.00, 90.00, 90.00 degrees
Space group P4/mbm (No. 127)
Asymmetric unit:
Hf 0.164 0.336 0.000 (multiplicity 4)
Zr 0.000 0.000 0.500 (multiplicity 2)
Rh 0.132 0.632 0.500 (multiplicity 4)

Theoretical density, g/cm3: 11.447
Total DFT energy (no corrections), eV/atom: -9.2624
Fermi-level density of states, states/eV/f.u.: 6.77

20.
The following is a DFT calculation (PBE-GGA) of Hf2ZrRh after structural relaxation.

Cell lengths 4.874, 4.874, 3.277 Å; angles 90.00, 90.00, 90.00 degrees
Space group P4/mmm (No. 123)
Asymmetric unit:
Hf 0.000 0.500 0.000 (multiplicity 2)
Zr 0.000 0.000 0.500 (multiplicity 1)
Rh 0.500 0.500 0.500 (multiplicity 1)

Theoretical density, g/cm3: 11.754
Total DFT energy (no corrections), eV/atom: -9.2561
Fermi-level density of states, states/eV/f.u.: 5.79

21.
The following is a DFT calculation (PBE-GGA) of Hf2ZrRh3 after structural relaxation.

Cell lengths 4.6023, 4.6023, 5.7904 Å; angles 90.00, 90.00, 120.00 degrees
Space group P-3m1 (No. 164)
Asymmetric unit:
Hf 0.3333 0.6667 0.1723 (multiplicity 2)
Zr 0.0000 0.0000 0.5000 (multiplicity 1)
Rh 0.0000 0.0000 0.0000 (multiplicity 1)
Rh 0.3333 0.6667 0.6991 (multiplicity 2)

Theoretical density, g/cm3: 11.834
Total DFT energy (no corrections), eV/atom: -9.2503
Fermi-level density of states, states/eV/f.u.: 5.96

22.
The following is a DFT calculation (PBE-GGA) of Hf2ZrRh after structural relaxation.

Cell lengths 3.2138, 3.2138, 27.5761 Å; angles 90.00, 90.00, 120.00 degrees
Space group R-3m (No. 166, hexagonal axes)
Asymmetric unit:
Hf 0.0000 0.0000 0.2400 (multiplicity 6)
Zr 0.0000 0.0000 0.0000 (multiplicity 3)
Rh 0.0000 0.0000 0.5000 (multiplicity 3)

Theoretical density, g/cm3: 11.131
Total DFT energy (no corrections), eV/atom: -9.2031
Fermi-level density of states, states/eV/f.u.: 5.20

23.
The following is a DFT calculation (PBE-GGA) of Hf2ZrRh after structural relaxation.

Cell lengths 3.294, 3.294, 7.352 Å; angles 90.00, 90.00, 90.00 degrees
Space group P4/mmm (No. 123)
Asymmetric unit:
Hf 0.000 0.000 0.218 (multiplicity 2)
Zr 0.500 0.500 0.500 (multiplicity 1)
Rh 0.500 0.500 0.000 (multiplicity 1)

Theoretical density, g/cm3: 11.469
Total DFT energy (no corrections), eV/atom: -9.4135
Fermi-level density of states, states/eV/f.u.: 3.96

24.
The following is a DFT calculation (PBE-GGA) of Hf2Zr3Rh3 after structural relaxation.

Cell lengths 3.383, 4.785, 18.685 Å; angles 90.00, 90.00, 90.00 degrees
Space group Immm (No. 71)
Asymmetric unit:
Hf 0.000 0.000 0.239 (multiplicity 4)
Zr 0.000 0.000 0.000 (multiplicity 2)
Zr 0.000 0.500 0.120 (multiplicity 4)
Rh 0.000 0.000 0.500 (multiplicity 2)
Rh 0.000 0.500 0.379 (multiplicity 4)

Theoretical density, g/cm3: 10.312
Total DFT energy (no corrections), eV/atom: -9.0294
Fermi-level density of states, states/eV/f.u.: 7.42